Crystalline AcTh2UP4 at its relaxed geometry, computed with PBE.

Cell and atoms, written as CIF:
```
data_AcTh2UP4
_chemical_formula_sum 'Ac1 Th2 U1 P4'
_space_group_name_H-M_alt 'P 1'
_space_group_IT_number 1
_space_group_name_Hall 'P 1'
_cell_length_a 7.220
_cell_length_b 7.220
_cell_length_c 7.220
_cell_angle_alpha 131.78
_cell_angle_beta 131.78
_cell_angle_gamma 70.58
loop_
_atom_site_label
_atom_site_type_symbol
_atom_site_fract_x
_atom_site_fract_y
_atom_site_fract_z
Ac1 Ac 0.000 0.000 0.000
Th1 Th 0.500 0.500 0.000
Th2 Th 0.750 0.250 0.500
U1 U 0.250 0.750 0.500
P1 P 0.007 0.507 0.500
P2 P 0.256 0.256 0.000
P3 P 0.493 0.993 0.500
P4 P 0.744 0.744 0.000
```

Summary:
formation energy = -1.30 eV/atom
size of the total moment = 2.499 μB/f.u.


Crystalline AcY2ThP4 at its relaxed geometry, computed with PBE.

Cell and atoms, written as CIF:
```
data_AcY2ThP4
_chemical_formula_sum 'Ac1 Y2 Th1 P4'
_space_group_name_H-M_alt 'P 1'
_space_group_IT_number 1
_space_group_name_Hall 'P 1'
_cell_length_a 7.158
_cell_length_b 4.155
_cell_length_c 7.218
_cell_angle_alpha 90.00
_cell_angle_beta 109.45
_cell_angle_gamma 90.00
loop_
_atom_site_label
_atom_site_type_symbol
_atom_site_fract_x
_atom_site_fract_y
_atom_site_fract_z
Ac1 Ac 0.000 0.000 0.000
Y1 Y 0.500 0.000 0.500
Y2 Y 0.500 0.500 0.000
Th1 Th 0.000 0.500 0.500
P1 P 0.260 0.000 0.745
P2 P 0.266 0.500 0.265
P3 P 0.734 0.500 0.735
P4 P 0.740 0.000 0.255
```

Summary:
formation energy = -1.55 eV/atom
size of the total moment = 0.000 μB/f.u.


Crystalline AcTiP2 at its relaxed geometry, computed with PBE.

Cell and atoms, written as CIF:
```
data_AcTiP2
_chemical_formula_sum 'Ac1 Ti1 P2'
_space_group_name_H-M_alt 'P 1'
_space_group_IT_number 1
_space_group_name_Hall 'P 1'
_cell_length_a 3.410
_cell_length_b 3.410
_cell_length_c 6.787
_cell_angle_alpha 90.00
_cell_angle_beta 90.00
_cell_angle_gamma 90.00
loop_
_atom_site_label
_atom_site_type_symbol
_atom_site_fract_x
_atom_site_fract_y
_atom_site_fract_z
Ac1 Ac 0.000 0.000 0.000
Ti1 Ti 0.000 0.000 0.500
P1 P 0.500 0.500 0.311
P2 P 0.500 0.500 0.689
```

Summary:
energy above the most stable polymorph in this dataset = 1.71 eV/f.u.
formation energy = -0.69 eV/atom
size of the total moment = 0.001 μB/f.u.